Record 1
Ba2TmB2S6: relaxed, PBE.

Computed properties:
- Space-group type: C2/m (12)
- DOS at the Fermi energy: 3.12 states/eV per cell
- Raw formation energy: -1309 meV/atom

abc: 6.645 6.645 7.870
angles: 115.95 115.95 59.63
Element x y z (fractional)
Ba: 0.214 0.214 0.212
Ba: 0.786 0.786 0.788
Tm: 0.000 0.000 0.500
B: 0.443 0.443 0.736
B: 0.557 0.557 0.264
S: 0.224 0.700 0.211
S: 0.265 0.265 0.657
S: 0.300 0.776 0.789
S: 0.700 0.224 0.211
S: 0.735 0.735 0.343
S: 0.776 0.300 0.789

Record 2
TbPm2DyY2: relaxed, PBE.

Computed properties:
- Space-group type: Pnnm (58)
- DOS at the Fermi energy: 17.85 states/eV per cell
- Formation enthalpy at 0 K: 0.253 eV/atom

abc: 6.638 17.734 3.405
angles: 90.00 90.00 90.00
Element x y z (fractional)
Tb: 0.000 0.000 0.000
Tb: 0.500 0.500 0.500
Pm: 0.233 0.351 0.500
Pm: 0.267 0.851 0.000
Pm: 0.733 0.149 0.000
Pm: 0.767 0.649 0.500
Dy: 0.000 0.500 0.000
Dy: 0.500 0.000 0.500
Y: 0.236 0.180 0.000
Y: 0.264 0.680 0.500
Y: 0.736 0.320 0.500
Y: 0.764 0.820 0.000

Record 3
TmCd3Hg4: relaxed, PBE.

Computed properties:
- Space-group type: P4/mmm (123)
- DOS at the Fermi energy: 3.77 states/eV per cell
- Formation enthalpy at 0 K: -0.150 eV/atom

abc: 4.721 4.721 8.356
angles: 90.00 90.00 90.00
Element x y z (fractional)
Tm: 0.000 0.000 0.000
Cd: 0.000 0.000 0.500
Cd: 0.500 0.500 0.000
Cd: 0.500 0.500 0.500
Hg: 0.000 0.500 0.250
Hg: 0.000 0.500 0.750
Hg: 0.500 0.000 0.250
Hg: 0.500 0.000 0.750

Record 4
Ce2NiP3: relaxed, PBE.

Computed properties:
- Space-group type: Fmmm (69)
- DOS at the Fermi energy: 14.49 states/eV per cell
- Formation enthalpy at 0 K: -1.045 eV/atom

abc: 8.259 8.254 5.544
angles: 70.43 70.34 39.23
Element x y z (fractional)
Ce: 0.237 0.763 0.237
Ce: 0.250 0.250 0.250
Ce: 0.750 0.750 0.750
Ce: 0.763 0.237 0.763
Ni: 0.348 0.348 0.652
Ni: 0.652 0.652 0.348
P: 0.166 0.665 0.834
P: 0.196 0.196 0.804
P: 0.335 0.834 0.665
P: 0.665 0.166 0.335
P: 0.804 0.804 0.196
P: 0.834 0.335 0.166

Record 5
La3HfV: relaxed, PBE.

Computed properties:
- Space-group type: Pm-3m (221)
- DOS at the Fermi energy: 8.56 states/eV per cell
- Formation enthalpy at 0 K: 0.751 eV/atom

abc: 5.390 5.390 5.390
angles: 90.00 90.00 90.00
Element x y z (fractional)
La: 0.000 0.000 0.500
La: 0.000 0.500 0.000
La: 0.500 0.000 0.000
Hf: 0.500 0.500 0.500
V: 0.000 0.000 0.000

Record 6
TaInPtI2: relaxed, PBE.

Computed properties:
- Space-group type: P4/mmm (123)
- DOS at the Fermi energy: 4.70 states/eV per cell
- Raw formation energy: 1095 meV/atom

abc: 5.486 5.486 5.158
angles: 90.00 90.00 90.00
Element x y z (fractional)
Ta: 0.000 0.000 0.000
In: 0.500 0.500 0.000
Pt: 0.500 0.500 0.500
I: 0.000 0.500 0.500
I: 0.500 0.000 0.500